Density functional theory data (GGA-PBE) for a relaxed structure of Y2Ag2RuO6.

Cell: 5.868 5.868 6.524 Å, 83.35 83.35 120.78°
Atoms (fractional coordinates):
Y 0.336 0.664 0.500
Y 0.664 0.336 0.500
O 0.261 0.949 0.670
O 0.051 0.739 0.330
Ru 0.000 0.000 0.500
O 0.337 0.337 0.349
O 0.949 0.261 0.670
Ag 0.851 0.149 0.000
Ag 0.149 0.851 0.000
O 0.663 0.663 0.651
O 0.739 0.051 0.330

Computed properties:
* theoretical density: 5.23 g/cm3
* formation energy from raw total energies: -1.785 eV per atom
* D(E_F): 0.43 states/eV per cell
* uncorrected energy: -7.026 eV per atom

Density functional theory data (GGA-PBE) for a relaxed structure of Y3Ag3RuO8.

Cell: 6.776 6.775 6.959 Å, 119.25 90.00 120.01°
Atoms (fractional coordinates):
Ag 0.000 0.000 0.000
O 0.729 0.458 0.686
Y 0.000 0.500 0.500
O 0.238 0.024 0.312
O 0.271 0.542 0.314
Ru 0.000 0.000 0.500
O 0.213 0.976 0.688
Y 0.500 0.500 0.500
Ag 0.000 0.500 0.000
O 0.787 0.024 0.312
O 0.787 0.573 0.312
Ag 0.500 0.500 0.000
O 0.762 0.976 0.688
O 0.213 0.427 0.688
Y 0.500 0.000 0.500

Computed properties:
* theoretical density: 5.96 g/cm3
* formation energy from raw total energies: -1.806 eV per atom
* D(E_F): 6.87 states/eV per cell
* uncorrected energy: -6.932 eV per atom

Density functional theory data (GGA-PBE) for a relaxed structure of Ag3SO4.

Cell: 8.423 5.771 6.118 Å, 48.28 43.12 46.52°
Atoms (fractional coordinates):
O 0.607 0.684 0.318
Ag 0.961 0.964 0.036
Ag 0.272 0.294 0.298
S 0.453 0.507 0.493
O 0.538 0.392 0.249
Ag 0.863 0.702 0.706
O 0.478 0.208 0.792
O 0.177 0.750 0.610

Computed properties:
* theoretical density: 5.00 g/cm3
* formation energy from raw total energies: -0.602 eV per atom
* D(E_F): 2.56 states/eV per cell
* uncorrected energy: -4.666 eV per atom